# 1
Material: Na2SrNpSe4
Method: DFT, PBE-GGA
State: relaxed

Computed properties:
* DOS at the Fermi energy: 9.98 states/eV/f.u.
* crystal system: monoclinic
* space group: No. 10

a b c (Å): 4.2880 7.3763 7.4904
angles (deg): 70.42 90.00 90.00
Closest atoms and distances in Å follow each position.
Positions (direct):
Se 0.0000 0.7351 0.7275  1 Np 2.81, 2 Na 3.01, 2 Sr 3.07
Se 0.0000 0.2649 0.2725  1 Np 2.81, 2 Na 3.01, 2 Sr 3.07
Se 0.5000 0.7296 0.2754  2 Np 2.90, 3 Na 3.01-3.17, 1 Sr 3.08
Se 0.5000 0.2704 0.7246  2 Np 2.90, 3 Na 3.01-3.17, 1 Sr 3.08
Na 0.5000 0.0000 0.5000  6 Se 3.01
Na 0.0000 0.0000 0.0000  6 Se 3.17-3.26
Np 0.0000 0.5000 0.5000  6 Se 2.81-2.90
Sr 0.5000 0.5000 0.0000  6 Se 3.07-3.08

---

# 2
Material: Na3Sr2NpSe6
Method: DFT, PBE-GGA
State: relaxed

Computed properties:
* DOS at the Fermi energy: 7.82 states/eV/f.u.
* crystal system: monoclinic
* space group: No. 12

a b c (Å): 7.5266 7.5266 7.3828
angles (deg): 99.90 99.90 120.04
Closest atoms and distances in Å follow each position.
Positions (direct):
Na 0.5000 0.5000 0.5000  6 Se 3.01-3.34
Na 0.1670 0.8330 0.5000  6 Se 3.02-3.28
Na 0.8330 0.1670 0.5000  6 Se 3.02-3.28
Se 0.6182 0.9208 0.7625  1 Np 2.81, 2 Na 3.01-3.02, 2 Sr 3.10-3.11
Se 0.3818 0.0792 0.2375  1 Np 2.81, 2 Na 3.01-3.02, 2 Sr 3.10-3.11
Se 0.7766 0.7766 0.2296  1 Np 2.77, 2 Na 3.04, 2 Sr 3.09
Se 0.9208 0.6182 0.7625  1 Np 2.81, 2 Na 3.01-3.02, 2 Sr 3.10-3.11
Se 0.0792 0.3818 0.2375  1 Np 2.81, 2 Na 3.01-3.02, 2 Sr 3.10-3.11
Se 0.2234 0.2234 0.7704  1 Np 2.77, 2 Na 3.04, 2 Sr 3.09
Sr 0.6673 0.3327 0.0000  6 Se 3.09-3.11
Sr 0.3327 0.6673 0.0000  6 Se 3.09-3.11
Np 0.0000 0.0000 0.0000  6 Se 2.77-2.81

---

Number 1: raw formation energy -1.367 eV/atom. Number 2: raw formation energy -1.412 eV/atom.